No. 1
Below is an optimized crystal structure of BeAs2Se, with properties calculated at the PBE level.

a = 3.6137 Å, b = 3.6137 Å, c = 5.8747 Å
α = 90.00°, β = 90.00°, γ = 90.00°
With the nearest neighbours (Å) after each atom.
Positions (direct):
Be1 0.0000 0.0000 0.0000  1 As 2.28
As1 0.0000 0.0000 0.6122  1 Be 2.28
As2 0.5000 0.5000 0.5267  4 As 2.60, 1 Se 2.61
Se1 0.5000 0.5000 0.0833  4 Be 2.60, 1 As 2.61

## Properties
formation energy without anion corrections: 0.07 eV/atom
total moment: 0.00 Bohr magnetons per cell

No. 2
Below is an optimized crystal structure of Pm2GaCl, with properties calculated at the PBE level.

a = 3.7646 Å, b = 4.6268 Å, c = 5.8931 Å
α = 90.00°, β = 90.07°, γ = 90.00°
With the nearest neighbours (Å) after each atom.
Positions (direct):
Pm1 0.0000 0.0000 0.0000  2 Ga 2.95, 4 Cl 2.98
Pm2 0.5000 0.5000 0.5000  2 Cl 2.95, 4 Ga 2.98
Ga1 0.0000 0.0000 0.5000  6 Pm 2.95-2.98
Cl1 0.5000 0.5000 0.0000  6 Pm 2.95-2.98

## Properties
formation energy without anion corrections: -1.04 eV/atom
total moment: 0.00 Bohr magnetons per cell

No. 3
Below is an optimized crystal structure of NbF, with properties calculated at the PBE level.

a = 9.3010 Å, b = 4.7523 Å, c = 5.3030 Å
α = 90.00°, β = 90.00°, γ = 90.00°
With the nearest neighbours (Å) after each atom.
Positions (direct):
Nb1 0.0041 0.2500 0.1580  4 F 2.44-2.52, 1 Nb 2.55
Nb2 0.2038 0.2500 0.8293  4 F 2.15-2.20
Nb3 0.2962 0.7500 0.3293  4 F 2.15-2.20
Nb4 0.4959 0.7500 0.6580  4 F 2.44-2.52, 1 Nb 2.55
Nb5 0.5041 0.2500 0.3420  4 F 2.44-2.52, 1 Nb 2.55
Nb6 0.7038 0.2500 0.6707  4 F 2.15-2.20
Nb7 0.7962 0.7500 0.1707  4 F 2.15-2.20
Nb8 0.9959 0.7500 0.8420  4 F 2.44-2.52, 1 Nb 2.55
F1 0.1291 0.0019 0.5155  2 Nb 2.15-2.20, 3 F 2.36-2.41
F2 0.1291 0.4981 0.5155  2 Nb 2.15-2.20, 3 F 2.36-2.41
F3 0.3709 0.5019 0.0155  2 Nb 2.15-2.20, 3 F 2.36-2.41
F4 0.3709 0.9981 0.0155  2 Nb 2.15-2.20, 3 F 2.36-2.41
F5 0.6291 0.0019 0.9845  2 Nb 2.15-2.20, 3 F 2.36-2.41
F6 0.6291 0.4981 0.9845  2 Nb 2.15-2.20, 3 F 2.36-2.41
F7 0.8709 0.5019 0.4845  2 Nb 2.15-2.20, 3 F 2.36-2.41
F8 0.8709 0.9981 0.4845  2 Nb 2.15-2.20, 3 F 2.36-2.41

## Properties
formation energy without anion corrections: -1.34 eV/atom
total moment: 0.00 Bohr magnetons per cell

No. 4
Below is an optimized crystal structure of SrLiMg6, with properties calculated at the PBE level.

a = 5.2663 Å, b = 6.8825 Å, c = 6.8825 Å
α = 57.42°, β = 90.00°, γ = 90.00°
With the nearest neighbours (Å) after each atom.
Positions (direct):
Sr1 0.0000 0.0000 0.0000  2 Li 3.32, 10 Mg 3.33-3.51
Li1 0.5000 0.1678 0.1678  8 Mg 3.05-3.34, 2 Sr 3.32
Mg1 0.0000 0.4661 0.4661  8 Mg 3.20-3.29, 2 Sr 3.33
Mg2 0.0000 0.4987 0.9840  7 Mg 3.14-3.40, 2 Li 3.26, 2 Sr 3.37-3.51
Mg3 0.0000 0.9840 0.4987  7 Mg 3.14-3.40, 2 Li 3.26, 2 Sr 3.37-3.51
Mg4 0.5000 0.1384 0.6258  1 Li 3.05, 7 Mg 3.14-3.40
Mg5 0.5000 0.6258 0.1384  1 Li 3.05, 7 Mg 3.14-3.40
Mg6 0.5000 0.6300 0.6300  10 Mg 3.29-3.48, 2 Li 3.34

## Properties
energy of formation: 0.042 eV per atom
total moment: 0.00 Bohr magnetons per cell

For reference, polymorph energy (0 for the lowest one) by record: 34.44; 0.00; 29.15; 4.37 kJ per mole of atoms.